A relaxed structure of Er5PtSe4, computed with GGA-PBE.

abc: 14.919 14.919 14.919
angles: 164.51 164.51 21.98
Fractional coordinates of all 10 atoms:
Er1 0.000 0.000 0.000
Er2 0.205 0.205 0.000
Er3 0.404 0.404 0.000
Er4 0.596 0.596 0.000
Er5 0.795 0.795 0.000
Pt1 0.500 0.500 0.000
Se1 0.106 0.106 0.000
Se2 0.304 0.304 0.000
Se3 0.696 0.696 0.000
Se4 0.894 0.894 0.000

Results
DOS(E_F) = 4.8 states/eV/cell
formation energy (no corrections) = -1.61 eV per atom


A relaxed structure of Er2PtSe, computed with GGA-PBE.

abc: 3.977 3.977 21.120
angles: 90.00 90.00 120.00
Fractional coordinates of all 12 atoms:
Er1 0.000 0.000 0.243
Er2 0.000 0.000 0.757
Er3 0.333 0.667 0.423
Er4 0.333 0.667 0.910
Er5 0.667 0.333 0.090
Er6 0.667 0.333 0.577
Pt1 0.000 0.000 0.500
Pt2 0.333 0.667 0.167
Pt3 0.667 0.333 0.833
Se1 0.000 0.000 0.000
Se2 0.333 0.667 0.667
Se3 0.667 0.333 0.333

Results
DOS(E_F) = 6.1 states/eV/cell
formation energy (no corrections) = -1.48 eV per atom
excess energy over the best structure of this formula in the dataset = 0 meV per atom


A relaxed structure of Er6Te3PtSe2, computed with GGA-PBE.

abc: 7.285 7.285 7.400
angles: 99.43 99.43 119.97
Fractional coordinates of all 12 atoms:
Er1 0.071 0.384 0.216
Er2 0.239 0.239 0.777
Er3 0.384 0.071 0.216
Er4 0.616 0.929 0.784
Er5 0.761 0.761 0.223
Er6 0.929 0.616 0.784
Te1 0.176 0.824 0.500
Te2 0.500 0.500 0.500
Te3 0.824 0.176 0.500
Pt1 0.000 0.000 0.000
Se1 0.335 0.665 0.000
Se2 0.665 0.335 0.000

Results
DOS(E_F) = 3.6 states/eV/cell
formation energy (no corrections) = -1.45 eV per atom


A relaxed structure of Er8Te4Pt3Se, computed with GGA-PBE.

abc: 8.617 8.617 8.617
angles: 57.71 57.71 57.71
Fractional coordinates of all 16 atoms:
Er1 0.225 0.745 0.745
Er2 0.235 0.235 0.235
Er3 0.255 0.255 0.775
Er4 0.255 0.775 0.255
Er5 0.745 0.225 0.745
Er6 0.745 0.745 0.225
Er7 0.765 0.765 0.765
Er8 0.775 0.255 0.255
Te1 0.000 0.000 0.000
Te2 0.000 0.500 0.500
Te3 0.500 0.000 0.500
Te4 0.500 0.500 0.000
Pt1 0.000 0.000 0.500
Pt2 0.000 0.500 0.000
Pt3 0.500 0.000 0.000
Se1 0.500 0.500 0.500

Results
DOS(E_F) = 9.3 states/eV/cell
formation energy (no corrections) = -1.33 eV per atom


A relaxed structure of Er8Te3Pt3Se, computed with GGA-PBE.

abc: 8.510 8.510 8.510
angles: 58.03 58.03 58.03
Fractional coordinates of all 15 atoms:
Er1 0.221 0.750 0.750
Er2 0.236 0.236 0.236
Er3 0.250 0.250 0.779
Er4 0.250 0.779 0.250
Er5 0.750 0.221 0.750
Er6 0.750 0.750 0.221
Er7 0.764 0.764 0.764
Er8 0.779 0.250 0.250
Te1 0.000 0.500 0.500
Te2 0.500 0.000 0.500
Te3 0.500 0.500 0.000
Pt1 0.000 0.000 0.500
Pt2 0.000 0.500 0.000
Pt3 0.500 0.000 0.000
Se1 0.500 0.500 0.500

Results
DOS(E_F) = 9.7 states/eV/cell
formation energy (no corrections) = -1.20 eV per atom


A relaxed structure of Er4Te2PtSe, computed with GGA-PBE.

abc: 7.388 4.099 7.454
angles: 90.00 108.51 90.00
Fractional coordinates of all 8 atoms:
Er1 0.220 0.000 0.208
Er2 0.249 0.500 0.779
Er3 0.751 0.500 0.221
Er4 0.780 0.000 0.792
Te1 0.000 0.000 0.500
Te2 0.500 0.500 0.500
Pt1 0.000 0.500 0.000
Se1 0.500 0.000 0.000

Results
DOS(E_F) = 3.8 states/eV/cell
formation energy (no corrections) = -1.40 eV per atom


A relaxed structure of Er8Te4PtSe3, computed with GGA-PBE.

abc: 8.488 8.488 8.488
angles: 59.09 59.09 59.09
Fractional coordinates of all 16 atoms:
Er1 0.240 0.240 0.240
Er2 0.255 0.730 0.730
Er3 0.270 0.270 0.745
Er4 0.270 0.745 0.270
Er5 0.730 0.255 0.730
Er6 0.730 0.730 0.255
Er7 0.745 0.270 0.270
Er8 0.760 0.760 0.760
Te1 0.000 0.000 0.000
Te2 0.000 0.500 0.500
Te3 0.500 0.000 0.500
Te4 0.500 0.500 0.000
Pt1 0.500 0.500 0.500
Se1 0.000 0.000 0.500
Se2 0.000 0.500 0.000
Se3 0.500 0.000 0.000

Results
DOS(E_F) = 6.8 states/eV/cell
formation energy (no corrections) = -1.45 eV per atom


A relaxed structure of Er2Si2Pt5, computed with GGA-PBE.

abc: 4.161 4.161 8.946
angles: 90.00 90.00 90.00
Fractional coordinates of all 9 atoms:
Er1 0.000 0.000 0.000
Er2 0.000 0.000 0.500
Si1 0.500 0.500 0.130
Si2 0.500 0.500 0.870
Pt1 0.000 0.500 0.266
Pt2 0.000 0.500 0.734
Pt3 0.500 0.000 0.266
Pt4 0.500 0.000 0.734
Pt5 0.500 0.500 0.500

Results
DOS(E_F) = 3.6 states/eV/cell
formation energy (no corrections) = -1.12 eV per atom


A relaxed structure of ErSi2Pt5, computed with GGA-PBE.

abc: 3.872 7.051 9.774
angles: 90.00 90.00 90.00
Fractional coordinates of all 16 atoms:
Er1 0.000 0.000 0.000
Er2 0.500 0.500 0.500
Si1 0.000 0.500 0.247
Si2 0.000 0.500 0.753
Si3 0.500 0.000 0.253
Si4 0.500 0.000 0.747
Pt1 0.000 0.204 0.354
Pt2 0.000 0.204 0.646
Pt3 0.000 0.500 0.000
Pt4 0.000 0.796 0.354
Pt5 0.000 0.796 0.646
Pt6 0.500 0.000 0.500
Pt7 0.500 0.296 0.146
Pt8 0.500 0.296 0.854
Pt9 0.500 0.704 0.146
Pt10 0.500 0.704 0.854

Results
DOS(E_F) = 6.8 states/eV/cell
formation energy (no corrections) = -0.90 eV per atom


A relaxed structure of Er3Si2Pt6, computed with GGA-PBE.

abc: 8.108 8.108 8.108
angles: 109.47 109.47 109.47
Fractional coordinates of all 22 atoms:
Er1 0.000 0.291 0.291
Er2 0.000 0.709 0.709
Er3 0.291 0.000 0.291
Er4 0.291 0.291 0.000
Er5 0.709 0.000 0.709
Er6 0.709 0.709 0.000
Si1 0.000 0.000 0.500
Si2 0.000 0.500 0.000
Si3 0.500 0.000 0.000
Si4 0.500 0.500 0.500
Pt1 0.000 0.319 0.681
Pt2 0.000 0.681 0.319
Pt3 0.319 0.000 0.681
Pt4 0.319 0.319 0.638
Pt5 0.319 0.638 0.319
Pt6 0.319 0.681 0.000
Pt7 0.362 0.681 0.681
Pt8 0.638 0.319 0.319
Pt9 0.681 0.000 0.319
Pt10 0.681 0.319 0.000
Pt11 0.681 0.362 0.681
Pt12 0.681 0.681 0.362

Results
DOS(E_F) = 6.5 states/eV/cell
formation energy (no corrections) = -1.06 eV per atom


A relaxed structure of Er3SiPt2, computed with GGA-PBE.

abc: 11.462 4.086 11.448
angles: 90.00 90.00 90.00
Fractional coordinates of all 24 atoms:
Er1 0.053 0.250 0.120
Er2 0.119 0.750 0.562
Er3 0.200 0.250 0.810
Er4 0.300 0.750 0.310
Er5 0.381 0.250 0.062
Er6 0.447 0.750 0.620
Er7 0.553 0.250 0.380
Er8 0.619 0.750 0.938
Er9 0.700 0.250 0.690
Er10 0.800 0.750 0.190
Er11 0.881 0.250 0.438
Er12 0.947 0.750 0.880
Si1 0.126 0.250 0.369
Si2 0.374 0.750 0.869
Si3 0.626 0.250 0.131
Si4 0.874 0.750 0.631
Pt1 0.020 0.750 0.309
Pt2 0.186 0.750 0.990
Pt3 0.314 0.250 0.490
Pt4 0.480 0.250 0.809
Pt5 0.520 0.750 0.191
Pt6 0.686 0.750 0.510
Pt7 0.814 0.250 0.010
Pt8 0.980 0.250 0.691

Results
DOS(E_F) = 20.3 states/eV/cell
formation energy (no corrections) = -1.06 eV per atom


A relaxed structure of ErSi2Pt2, computed with GGA-PBE.

abc: 4.185 4.185 9.853
angles: 90.00 90.00 92.39
Fractional coordinates of all 10 atoms:
Er1 0.250 0.750 0.752
Er2 0.750 0.250 0.248
Si1 0.250 0.250 0.000
Si2 0.250 0.750 0.366
Si3 0.750 0.250 0.634
Si4 0.750 0.750 0.000
Pt1 0.250 0.250 0.500
Pt2 0.250 0.750 0.125
Pt3 0.750 0.250 0.875
Pt4 0.750 0.750 0.500

Results
DOS(E_F) = 5.8 states/eV/cell
formation energy (no corrections) = -1.07 eV per atom


A relaxed structure of ErSi2Pt3, computed with GGA-PBE.

abc: 8.359 8.359 9.917
angles: 106.93 106.93 27.33
Fractional coordinates of all 18 atoms:
Er1 0.000 0.000 0.000
Er2 0.153 0.153 0.689
Er3 0.847 0.847 0.311
Si1 0.200 0.200 0.132
Si2 0.363 0.363 0.552
Si3 0.461 0.461 0.222
Si4 0.539 0.539 0.778
Si5 0.637 0.637 0.448
Si6 0.800 0.800 0.868
Pt1 0.038 0.038 0.326
Pt2 0.225 0.225 0.387
Pt3 0.325 0.325 0.049
Pt4 0.381 0.381 0.809
Pt5 0.500 0.500 0.500
Pt6 0.619 0.619 0.191
Pt7 0.675 0.675 0.951
Pt8 0.775 0.775 0.613
Pt9 0.962 0.962 0.674

Results
DOS(E_F) = 8.2 states/eV/cell
formation energy (no corrections) = -1.04 eV per atom


A relaxed structure of ErSiPt6, computed with GGA-PBE.

abc: 4.023 4.023 7.954
angles: 90.00 90.00 90.00
Fractional coordinates of all 8 atoms:
Er1 0.000 0.000 0.000
Si1 0.000 0.000 0.500
Pt1 0.000 0.500 0.266
Pt2 0.000 0.500 0.734
Pt3 0.500 0.000 0.266
Pt4 0.500 0.000 0.734
Pt5 0.500 0.500 0.000
Pt6 0.500 0.500 0.500

Results
DOS(E_F) = 6.8 states/eV/cell
formation energy (no corrections) = -0.69 eV per atom
excess energy over the best structure of this formula in the dataset = 0 meV per atom


A relaxed structure of ErSi4Pt4, computed with GGA-PBE.

abc: 6.200 6.200 7.877
angles: 90.00 90.00 90.00
Fractional coordinates of all 18 atoms:
Er1 0.250 0.750 0.250
Er2 0.750 0.250 0.750
Si1 0.030 0.250 0.065
Si2 0.250 0.030 0.565
Si3 0.250 0.470 0.565
Si4 0.470 0.250 0.065
Si5 0.530 0.750 0.935
Si6 0.750 0.530 0.435
Si7 0.750 0.970 0.435
Si8 0.970 0.750 0.935
Pt1 0.026 0.250 0.372
Pt2 0.250 0.026 0.872
Pt3 0.250 0.474 0.872
Pt4 0.474 0.250 0.372
Pt5 0.526 0.750 0.628
Pt6 0.750 0.526 0.128
Pt7 0.750 0.974 0.128
Pt8 0.974 0.750 0.628

Results
DOS(E_F) = 6.7 states/eV/cell
formation energy (no corrections) = -0.69 eV per atom


A relaxed structure of ErSiPt3, computed with GGA-PBE.

abc: 5.670 6.722 4.986
angles: 90.00 90.00 90.00
Fractional coordinates of all 10 atoms:
Er1 0.000 0.000 0.000
Er2 0.500 0.500 0.000
Si1 0.000 0.500 0.500
Si2 0.500 0.000 0.500
Pt1 0.000 0.500 0.000
Pt2 0.138 0.173 0.500
Pt3 0.362 0.673 0.500
Pt4 0.500 0.000 0.000
Pt5 0.638 0.327 0.500
Pt6 0.862 0.827 0.500

Results
DOS(E_F) = 2.7 states/eV/cell
formation energy (no corrections) = -0.80 eV per atom
excess energy over the best structure of this formula in the dataset = 234 meV per atom


A relaxed structure of ErSi3Pt3, computed with GGA-PBE.

abc: 6.587 6.587 6.587
angles: 90.00 90.00 90.00
Fractional coordinates of all 14 atoms:
Er1 0.000 0.000 0.000
Er2 0.500 0.500 0.500
Si1 0.000 0.250 0.500
Si2 0.000 0.750 0.500
Si3 0.250 0.500 0.000
Si4 0.500 0.000 0.250
Si5 0.500 0.000 0.750
Si6 0.750 0.500 0.000
Pt1 0.000 0.500 0.250
Pt2 0.000 0.500 0.750
Pt3 0.250 0.000 0.500
Pt4 0.500 0.250 0.000
Pt5 0.500 0.750 0.000
Pt6 0.750 0.000 0.500

Results
DOS(E_F) = 7.0 states/eV/cell
formation energy (no corrections) = -0.56 eV per atom


A relaxed structure of Er5Si5Pt2, computed with GGA-PBE.

abc: 7.604 7.604 10.676
angles: 129.01 129.01 32.13
Fractional coordinates of all 12 atoms:
Er1 0.000 0.000 0.000
Er2 0.111 0.111 0.421
Er3 0.196 0.196 0.827
Er4 0.804 0.804 0.173
Er5 0.889 0.889 0.579
Si1 0.258 0.258 0.313
Si2 0.442 0.442 0.172
Si3 0.500 0.500 0.500
Si4 0.558 0.558 0.828
Si5 0.742 0.742 0.687
Pt1 0.355 0.355 0.746
Pt2 0.645 0.645 0.254

Results
DOS(E_F) = 4.7 states/eV/cell
formation energy (no corrections) = -0.88 eV per atom


A relaxed structure of Er3Si2Pt, computed with GGA-PBE.

abc: 11.339 4.197 11.244
angles: 90.00 90.00 90.00
Fractional coordinates of all 24 atoms:
Er1 0.056 0.250 0.123
Er2 0.120 0.750 0.561
Er3 0.211 0.250 0.807
Er4 0.289 0.750 0.307
Er5 0.380 0.250 0.061
Er6 0.444 0.750 0.623
Er7 0.556 0.250 0.377
Er8 0.620 0.750 0.939
Er9 0.711 0.250 0.693
Er10 0.789 0.750 0.193
Er11 0.880 0.250 0.439
Er12 0.944 0.750 0.877
Si1 0.018 0.750 0.309
Si2 0.190 0.750 0.001
Si3 0.310 0.250 0.501
Si4 0.482 0.250 0.809
Si5 0.518 0.750 0.191
Si6 0.690 0.750 0.499
Si7 0.810 0.250 0.999
Si8 0.982 0.250 0.691
Pt1 0.130 0.250 0.367
Pt2 0.370 0.750 0.867
Pt3 0.630 0.250 0.133
Pt4 0.870 0.750 0.633

Results
DOS(E_F) = 15.9 states/eV/cell
formation energy (no corrections) = -0.94 eV per atom